# KFe2P2 | Alexandria | PBE-GGA | optimized geometry
data_KFe2P2
_chemical_formula_sum 'K2 Fe4 P4'
_symmetry_space_group_name_H-M 'P 4/m b m'
_symmetry_Int_Tables_number 127
_symmetry_space_group_name_Hall '-P 4 2ab'
_cell_length_a 7.8020
_cell_length_b 7.8020
_cell_length_c 2.8316
_cell_angle_alpha 90.00
_cell_angle_beta 90.00
_cell_angle_gamma 90.00
loop_
_atom_site_label
_atom_site_type_symbol
_atom_site_fract_x
_atom_site_fract_y
_atom_site_fract_z
K1 K 0.0000 0.0000 0.0000
Fe1 Fe 0.1060 0.3940 0.5000
P1 P 0.1355 0.6355 0.0000
# - ρ: 4099 kg/m³
# - Energy relative to the elements: 11.7 kJ/mol of atoms